# TlCrO2F, relaxed, DFT PBE with a Hubbard U
# **Electronic total energy**: -4.82 eV per atom
# **Magnetic moment**: 4.2 μB per cell
data_TlCrO2F
_chemical_formula_sum 'Tl1 Cr1 O2 F1'
_space_group_name_H-M_alt 'P 1'
_space_group_IT_number 1
_cell_length_a 4.2547
_cell_length_b 4.2547
_cell_length_c 4.4413
_cell_angle_alpha 90.00
_cell_angle_beta 90.00
_cell_angle_gamma 90.00
loop_
_space_group_symop_operation_xyz
'x,y,z'
loop_
_atom_site_label
_atom_site_fract_x
_atom_site_fract_y
_atom_site_fract_z
Cr1 0.5000 0.5000 0.5000
O1 0.5000 0.0000 0.0000
O2 0.0000 0.5000 0.0000
Tl1 0.0000 0.0000 0.0000
F1 0.0000 0.0000 0.5000